(1)
{
  "formula": "Pu3ReN7",
  "functional": "PBE-GGA",
  "state": "relaxed",
  "cell": [[3.684, -5.210, 0.000], [3.684, 5.210, 0.000], [0.000, 0.000, 7.368]],
  "species": ["Pu", "Pu", "Pu", "Pu", "Pu", "Pu", "Re", "Re", "N", "N", "N", "N", "N", "N", "N", "N", "N", "N", "N", "N", "N", "N"],
  "fractional_positions": [[0.022, 0.022, 0.000], [0.036, 0.498, 0.262], [0.498, 0.036, 0.738], [0.502, 0.964, 0.238], [0.964, 0.502, 0.762], [0.978, 0.978, 0.500], [0.476, 0.476, 0.500], [0.524, 0.524, 0.000], [0.127, 0.873, 0.750], [0.145, 0.855, 0.250], [0.155, 0.410, 0.980], [0.178, 0.434, 0.548], [0.410, 0.155, 0.020], [0.434, 0.178, 0.452], [0.437, 0.563, 0.250], [0.563, 0.437, 0.750], [0.566, 0.822, 0.952], [0.590, 0.845, 0.520], [0.822, 0.566, 0.048], [0.845, 0.590, 0.480], [0.855, 0.145, 0.750], [0.873, 0.127, 0.250]],
  "energy_ev_per_atom": -11.013
}



(2)
{
  "formula": "ReMoIr2",
  "functional": "PBE-GGA",
  "state": "relaxed",
  "cell": [[-2.766, 2.766, 5.809], [2.766, -2.766, 5.809], [2.766, 2.766, -5.809]],
  "species": ["Re", "Re", "Mo", "Mo", "Ir", "Ir", "Ir", "Ir"],
  "fractional_positions": [[0.000, 0.000, 0.000], [0.750, 0.250, 0.500], [0.250, 0.750, 0.500], [0.500, 0.500, 0.000], [0.119, 0.625, 0.994], [0.375, 0.369, 0.494], [0.631, 0.125, 0.006], [0.875, 0.881, 0.506]],
  "energy_ev_per_atom": -9.220,
  "formation_enthalpy_0k_ev_per_atom": 1.031,
  "polymorph_energy_mev_per_atom": 1360
}



(3)
{
  "formula": "NaLiAgPb",
  "functional": "PBE-GGA",
  "state": "relaxed",
  "cell": [[0.000, 3.512, 3.512], [3.512, 0.000, 3.512], [3.512, 3.512, 0.000]],
  "species": ["Na", "Li", "Ag", "Pb"],
  "fractional_positions": [[0.000, 0.000, 0.000], [0.250, 0.250, 0.250], [0.750, 0.750, 0.750], [0.500, 0.500, 0.500]],
  "energy_ev_per_atom": -2.624,
  "formation_enthalpy_0k_ev_per_atom": -0.176
}



(4)
{
  "formula": "ScTa2Sb",
  "functional": "PBE-GGA",
  "state": "relaxed",
  "cell": [[-2.174, 2.174, 4.149], [2.174, -2.174, 4.149], [2.174, 2.174, -4.149]],
  "species": ["Sc", "Ta", "Ta", "Sb"],
  "fractional_positions": [[0.000, 0.000, 0.000], [0.250, 0.750, 0.500], [0.500, 0.500, 0.000], [0.750, 0.250, 0.500]],
  "energy_ev_per_atom": -8.558
}



(5)
{
  "formula": "V4Tc2W",
  "functional": "PBE-GGA",
  "state": "relaxed",
  "cell": [[-2.259, 2.259, 6.155], [2.259, -2.259, 6.155], [2.259, 2.259, -6.155]],
  "species": ["V", "V", "V", "V", "Tc", "Tc", "W"],
  "fractional_positions": [[0.000, 0.500, 0.500], [0.200, 0.200, 0.000], [0.500, 0.000, 0.500], [0.800, 0.800, 0.000], [0.381, 0.381, 0.000], [0.619, 0.619, 0.000], [0.000, 0.000, 0.000]],
  "energy_ev_per_atom": -8.809,
  "formation_enthalpy_0k_ev_per_atom": 1.213
}



(6)
{
  "formula": "Pm3Pu4Se8",
  "functional": "PBE-GGA",
  "state": "relaxed",
  "cell": [[5.875, -5.897, 0.000], [5.875, 5.897, 0.000], [-5.875, 0.000, 5.887]],
  "species": ["Pm", "Pm", "Pm", "Pu", "Pu", "Pu", "Pu", "Se", "Se", "Se", "Se", "Se", "Se", "Se", "Se"],
  "fractional_positions": [[0.000, 0.000, 0.000], [0.000, 0.500, 0.500], [0.500, 0.000, 0.500], [0.000, 0.500, 0.000], [0.500, 0.000, 0.000], [0.500, 0.500, 0.000], [0.500, 0.500, 0.500], [0.248, 0.752, 0.500], [0.251, 0.251, 0.504], [0.251, 0.251, 0.999], [0.251, 0.749, 0.000], [0.749, 0.251, 0.000], [0.749, 0.749, 0.001], [0.749, 0.749, 0.496], [0.752, 0.248, 0.500]],
  "energy_ev_per_atom": -8.299
}



(7)
{
  "formula": "TbTh2Co",
  "functional": "PBE-GGA",
  "state": "relaxed",
  "cell": [[7.017, 0.000, 0.000], [0.000, 9.849, 0.000], [0.000, 0.000, 6.189]],
  "species": ["Tb", "Tb", "Tb", "Tb", "Th", "Th", "Th", "Th", "Th", "Th", "Th", "Th", "Co", "Co", "Co", "Co"],
  "fractional_positions": [[0.044, 0.250, 0.158], [0.456, 0.750, 0.658], [0.544, 0.250, 0.342], [0.956, 0.750, 0.842], [0.177, 0.068, 0.669], [0.177, 0.432, 0.669], [0.323, 0.568, 0.169], [0.323, 0.932, 0.169], [0.677, 0.068, 0.831], [0.677, 0.432, 0.831], [0.823, 0.568, 0.331], [0.823, 0.932, 0.331], [0.104, 0.750, 0.379], [0.396, 0.250, 0.879], [0.604, 0.750, 0.121], [0.896, 0.250, 0.621]],
  "energy_ev_per_atom": -6.820,
  "formation_enthalpy_0k_ev_per_atom": -0.176,
  "polymorph_energy_mev_per_atom": 4
}



(8)
{
  "formula": "ErPdAu",
  "functional": "PBE-GGA",
  "state": "relaxed",
  "cell": [[-1.821, 1.821, 4.502], [1.821, -1.821, 4.502], [1.821, 1.821, -4.502]],
  "species": ["Er", "Pd", "Au"],
  "fractional_positions": [[0.000, 0.000, 0.000], [0.340, 0.340, 0.000], [0.669, 0.669, 0.000]],
  "energy_ev_per_atom": -5.219,
  "formation_enthalpy_0k_ev_per_atom": -0.874,
  "polymorph_energy_mev_per_atom": 0
}